Density functional theory data (GGA-PBE) for La2TlSe after structural relaxation.

It has space group I-4m2 (No. 119), with a = 4.5190 Å, b = 4.5190 Å, c = 11.6016 Å, α = 90.00°, β = 90.00° and γ = 90.00°. The inequivalent atoms are La at (0.0000, 0.0000, 0.0000), La at (0.0000, 0.5000, 0.2500), Tl at (0.0000, 0.0000, 0.5000) and Se at (0.0000, 0.5000, 0.7500).

The calculation puts the raw formation energy at -3.18 eV/f.u.


Density functional theory data (GGA-PBE) for La2TlSe after structural relaxation.

It has space group I-42d (No. 122), with a = 6.8005 Å, b = 6.8005 Å, c = 14.7541 Å, α = 90.00°, β = 90.00° and γ = 90.00°. The inequivalent atoms are La at (0.2226, 0.2500, 0.1250), Tl at (0.0000, 0.0000, 0.5000) and Se at (0.0000, 0.0000, 0.0000).

The calculation puts the raw formation energy at -2.49 eV/f.u.


Density functional theory data (GGA-PBE) for La3TmTl4Se8 after structural relaxation.

It has space group R-3m (No. 166, hexagonal axes), with a = 8.7084 Å, b = 8.7084 Å, c = 23.1576 Å, α = 90.00°, β = 90.00° and γ = 120.00°. The inequivalent atoms are La at (0.0000, 0.5000, 0.0000), Tm at (0.0000, 0.0000, 0.0000), Tl at (0.0000, 0.0000, 0.5000), Tl at (0.0000, 0.5000, 0.5000), Se at (0.0000, 0.0000, 0.2623) and Se at (0.0136, 0.5068, 0.7357).

The calculation puts the raw formation energy at -22.87 eV/f.u.


Density functional theory data (GGA-PBE) for La2TmTl3Se6 after structural relaxation.

It has space group C2/m (No. 12), with a = 7.5027 Å, b = 12.9839 Å, c = 8.1150 Å, α = 90.00°, β = 107.91° and γ = 90.00°. The inequivalent atoms are La at (0.0000, 0.1665, 0.0000), Tm at (0.0000, 0.5000, 0.0000), Tl at (0.0000, 0.0000, 0.5000), Tl at (0.0000, 0.3319, 0.5000), Se at (0.2282, 0.3409, 0.2067) and Se at (0.2483, 0.5000, 0.7898).

The calculation puts the raw formation energy at -17.10 eV/f.u.


Density functional theory data (GGA-PBE) for LaTmTl2Se4 after structural relaxation.

It has space group P2/m (No. 10), with a = 7.4222 Å, b = 4.2784 Å, c = 8.1246 Å, α = 90.00°, β = 107.66° and γ = 90.00°. The inequivalent atoms are La at (0.0000, 0.0000, 0.0000), Tm at (0.5000, 0.5000, 0.0000), Tl at (0.0000, 0.5000, 0.5000), Tl at (0.5000, 0.0000, 0.5000), Se at (0.2504, 0.5000, 0.2088) and Se at (0.2785, 0.0000, 0.7965).

The calculation puts the raw formation energy at -11.24 eV/f.u.


Density functional theory data (GGA-PBE) for La2UTl3Se6 after structural relaxation.

It has space group C2/m (No. 12), with a = 7.5589 Å, b = 13.0741 Å, c = 8.1218 Å, α = 90.00°, β = 108.04° and γ = 90.00°. The inequivalent atoms are La at (0.0000, 0.1667, 0.0000), U at (0.0000, 0.5000, 0.0000), Tl at (0.0000, 0.0000, 0.5000), Tl at (0.0000, 0.3325, 0.5000), Se at (0.2308, 0.3389, 0.2087) and Se at (0.2481, 0.0000, 0.2108).

The calculation puts the raw formation energy at -14.95 eV/f.u.


Density functional theory data (GGA-PBE) for La3UTl3Se8 after structural relaxation.

It has space group R-3m (No. 166, hexagonal axes), with a = 8.7447 Å, b = 8.7447 Å, c = 23.2138 Å, α = 90.00°, β = 90.00° and γ = 120.00°. The inequivalent atoms are La at (0.0000, 0.5000, 0.0000), U at (0.0000, 0.0000, 0.0000), Tl at (0.0000, 0.5000, 0.5000), Se at (0.0000, 0.0000, 0.2628) and Se at (0.0175, 0.5088, 0.7340).

The calculation puts the raw formation energy at -20.83 eV/f.u.


Density functional theory data (GGA-PBE) for LaU2Tl2Se6 after structural relaxation.

It has space group C2/m (No. 12), with a = 7.3433 Å, b = 12.8002 Å, c = 8.1390 Å, α = 90.00°, β = 107.03° and γ = 90.00°. The inequivalent atoms are La at (0.0000, 0.0000, 0.0000), U at (0.0000, 0.3342, 0.0000), Tl at (0.0000, 0.1636, 0.5000), Se at (0.2183, 0.5000, 0.2043) and Se at (0.2382, 0.1749, 0.2037).

The calculation puts the raw formation energy at -12.84 eV/f.u.


Number 1: DFT total energy -4.72 eV per atom. Number 2: DFT total energy -4.55 eV per atom. Number 3: DFT total energy -4.97 eV per atom. Number 4: DFT total energy -4.95 eV per atom. Number 5: DFT total energy -4.91 eV per atom. Number 6: DFT total energy -5.34 eV per atom. Number 7: DFT total energy -5.46 eV per atom. Number 8: DFT total energy -6.00 eV per atom.